Record 1
{"formula": "CsAl2P2", "functional": "PBE", "state": "optimized geometry", "lattice": [[8.941, 0.000, 0.000], [0.000, 8.941, 0.000], [0.000, 0.000, 3.471]], "species": ["Cs", "Cs", "Al", "Al", "Al", "Al", "P", "P", "P", "P"], "frac_coords": [[0.000, 0.000, 0.000], [0.500, 0.500, 0.000], [0.123, 0.377, 0.500], [0.377, 0.877, 0.500], [0.623, 0.123, 0.500], [0.877, 0.623, 0.500], [0.091, 0.591, 0.000], [0.409, 0.091, 0.000], [0.591, 0.909, 0.000], [0.909, 0.409, 0.000]], "e_form_mev_per_atom": 62, "e_tot_ev_per_atom": -3.7699, "vol_a3_per_cell": 277}


Record 2
{"formula": "Cs2AlP", "functional": "PBE", "state": "optimized geometry", "lattice": [[0.000, 4.245, 4.245], [4.245, 0.000, 4.245], [4.245, 4.245, 0.000]], "species": ["Cs", "Cs", "Al", "P"], "frac_coords": [[0.250, 0.250, 0.250], [0.750, 0.750, 0.750], [0.000, 0.000, 0.000], [0.500, 0.500, 0.500]], "e_form_mev_per_atom": 450, "e_tot_ev_per_atom": -2.2650, "vol_a3_per_cell": 153}


Record 3
{"formula": "Cs2AlP", "functional": "PBE", "state": "optimized geometry", "lattice": [[-6.972, 6.972, 2.350], [6.972, -6.972, 2.350], [6.972, 6.972, -2.350]], "species": ["Cs", "Cs", "Cs", "Cs", "Al", "Al", "P", "P"], "frac_coords": [[0.375, 0.173, 0.298], [0.827, 0.125, 0.202], [0.875, 0.077, 0.702], [0.923, 0.625, 0.798], [0.250, 0.750, 0.500], [0.500, 0.500, 0.000], [0.000, 0.000, 0.000], [0.750, 0.250, 0.500]], "e_form_mev_per_atom": -2, "e_tot_ev_per_atom": -2.7169, "vol_a3_per_cell": 457}


Record 4
{"formula": "CsAl3P", "functional": "PBE", "state": "optimized geometry", "lattice": [[5.940, 0.000, 0.000], [0.000, 5.940, 0.000], [0.000, 0.000, 5.940]], "species": ["Cs", "Al", "Al", "Al", "P"], "frac_coords": [[0.000, 0.000, 0.000], [0.000, 0.000, 0.500], [0.000, 0.500, 0.000], [0.500, 0.000, 0.000], [0.500, 0.500, 0.500]], "e_form_mev_per_atom": 2047, "e_tot_ev_per_atom": -1.4507, "vol_a3_per_cell": 210}